1.
## Mg2HgMo (GGA-PBE)

Data for an optimized crystal structure of Mg2HgMo.

Lattice parameters (Å, degrees): 4.6951 2.9101 5.5342 83.76 90.00 90.00
Fractional positions:
Mg  0.0000  0.9523  0.0172
Mg  0.0000  0.5477  0.4828
Mo  0.5000  0.2500  0.2500
Hg  0.5000  0.7500  0.7500

Computed properties:
raw total energy = -3.277 eV/atom
spin magnetization = 0.00 μB/atom
ΔE_f = 0.30 eV per atom

---

2.
## MgHg2Mo (GGA-PBE)

Data for an optimized crystal structure of MgHg2Mo.

Lattice parameters (Å, degrees): 3.5596 3.5596 6.2521 90.00 90.00 90.00
Last column: magnetic moment on the atom in μB.
Fractional positions:
Hg  0.5000  0.5000  0.2657  -0.01
Hg  0.0000  0.0000  0.9757  0.03
Mo  0.5000  0.5000  0.7468  1.29
Mg  0.0000  0.0000  0.5119  0.00

Computed properties:
raw total energy = -2.815 eV/atom
spin magnetization = 0.37 μB/atom
ΔE_f = 0.44 eV per atom

---

3.
## MgHgMo2 (GGA-PBE)

Data for an optimized crystal structure of MgHgMo2.

Lattice parameters (Å, degrees): 2.7629 2.7629 9.3740 90.00 90.00 99.91
Fractional positions:
Mo  0.0000  0.0000  0.5031
Mo  0.0000  0.0000  0.9969
Hg  0.5000  0.5000  0.2500
Mg  0.5000  0.5000  0.7500

Computed properties:
raw total energy = -5.404 eV/atom
spin magnetization = 0.00 μB/atom
ΔE_f = 0.49 eV per atom
distance to the lowest polymorph of the same formula = 0.280 eV per atom

---

4.
## MgHgMo3 (GGA-PBE)

Data for an optimized crystal structure of MgHgMo3.

Lattice parameters (Å, degrees): 4.6038 4.6038 4.6038 90.00 90.00 90.00
Fractional positions:
Mg  0.0000  0.0000  0.0000
Hg  0.5000  0.5000  0.5000
Mo  0.5000  0.0000  0.0000
Mo  0.0000  0.5000  0.0000
Mo  0.0000  0.0000  0.5000

Computed properties:
raw total energy = -4.835 eV/atom
spin magnetization = 0.00 μB/atom
ΔE_f = 2.04 eV per atom
distance to the lowest polymorph of the same formula = 0.000 eV per atom

---

5.
## Mg2HgMo (GGA-PBE)

Data for an optimized crystal structure of Mg2HgMo.

Lattice parameters (Å, degrees): 2.8994 2.8994 9.1933 90.00 90.00 90.00
Fractional positions:
Mo  0.0000  0.0000  0.4982
Hg  0.5000  0.5000  0.7421
Mg  0.5000  0.5000  0.2685
Mg  0.0000  0.0000  0.9912

Computed properties:
raw total energy = -3.306 eV/atom
spin magnetization = 0.00 μB/atom
ΔE_f = 0.27 eV per atom

---

6.
## MgHg3Mo (GGA-PBE)

Data for an optimized crystal structure of MgHg3Mo.

Lattice parameters (Å, degrees): 5.4360 5.4360 5.4360 90.00 90.00 90.00
Last column: magnetic moment on the atom in μB.
Fractional positions:
Hg  0.0000  0.0000  0.5000  0.07
Hg  0.0000  0.5000  0.0000  0.08
Hg  0.5000  0.0000  0.0000  0.05
Mg  0.5000  0.5000  0.5000  0.05
Mo  0.0000  0.0000  0.0000  2.31

Computed properties:
raw total energy = -1.840 eV/atom
spin magnetization = 0.65 μB/atom
ΔE_f = 0.83 eV per atom
distance to the lowest polymorph of the same formula = 0.000 eV per atom

---

7.
## MgHgMo2 (GGA-PBE)

Data for an optimized crystal structure of MgHgMo2.

Lattice parameters (Å, degrees): 2.7840 4.2647 5.9871 90.00 90.00 90.00
Fractional positions:
Mo  0.0000  0.0000  0.0187
Mo  0.5000  0.5000  0.2226
Hg  0.0000  0.0000  0.5118
Mg  0.5000  0.5000  0.7470

Computed properties:
raw total energy = -5.484 eV/atom
spin magnetization = 0.00 μB/atom
ΔE_f = 0.41 eV per atom
distance to the lowest polymorph of the same formula = 0.200 eV per atom

---

8.
## MgHgMo2 (GGA-PBE)

Data for an optimized crystal structure of MgHgMo2.

Lattice parameters (Å, degrees): 4.2074 2.8792 6.2666 70.83 90.00 90.00
Fractional positions:
Hg  0.0000  0.4942  0.5097
Mg  0.5000  0.7929  0.7537
Mo  0.5000  0.1799  0.2171
Mo  0.0000  0.0330  0.0195

Computed properties:
raw total energy = -5.595 eV/atom
spin magnetization = 0.00 μB/atom
ΔE_f = 0.29 eV per atom
distance to the lowest polymorph of the same formula = 0.088 eV per atom